Record 1
Compound: LaMnP
Source: Alexandria via LeMat-Bulk
Functional: PBE-GGA
Structure: optimized geometry

Cell lengths 4.427, 4.427, 4.427 Å; angles 60.00, 60.00, 60.00 degrees
Positions (direct):
La1 0.000 0.000 0.000
Mn1 0.250 0.250 0.250
P1 0.500 0.500 0.500

Calculated values
calculated formation energy: -332 meV per atom
total DFT energy (no corrections): -20.50 eV per cell
DOS(E_F): 2.00 states/eV/f.u.



Record 2
Compound: LaMnP
Source: Alexandria via LeMat-Bulk
Functional: PBE-GGA
Structure: optimized geometry

Cell lengths 4.494, 4.494, 5.939 Å; angles 90.00, 90.00, 90.00 degrees
Positions (direct):
La1 0.250 0.250 0.158
La2 0.750 0.750 0.842
Mn1 0.250 0.250 0.632
Mn2 0.750 0.750 0.368
P1 0.250 0.750 0.500
P2 0.750 0.250 0.500

Calculated values
calculated formation energy: -455 meV per atom
total DFT energy (no corrections): -41.74 eV per cell
DOS(E_F): 2.54 states/eV/f.u.



Record 3
Compound: LaMnP2
Source: Alexandria via LeMat-Bulk
Functional: PBE-GGA
Structure: optimized geometry

Cell lengths 3.819, 3.819, 6.029 Å; angles 90.00, 90.00, 120.00 degrees
Positions (direct):
La1 0.000 0.000 0.000
Mn1 0.333 0.667 0.500
P1 0.667 0.333 0.316
P2 0.667 0.333 0.684

Calculated values
calculated formation energy: -784 meV per atom
total DFT energy (no corrections): -28.05 eV per cell
DOS(E_F): 1.91 states/eV/f.u.



Record 4
Compound: La2MnP
Source: Alexandria via LeMat-Bulk
Functional: PBE-GGA
Structure: optimized geometry

Cell lengths 5.017, 5.017, 5.017 Å; angles 60.00, 60.00, 60.00 degrees
Positions (direct):
La1 0.000 0.000 0.000
La2 0.250 0.250 0.250
Mn1 0.500 0.500 0.500
P1 0.750 0.750 0.750

Calculated values
calculated formation energy: 70 meV per atom
total DFT energy (no corrections): -24.16 eV per cell
DOS(E_F): 4.99 states/eV/f.u.